(1)
The following is a DFT calculation (PBE) of a geometry-optimized MnTlZn2 structure.

For the excess energy over the best structure of this formula in the dataset, the calculation gives 7.91 kJ per mole of atoms. The magnetization is 0.897 μB per atom. The formation energy is 0.29 eV/atom. The calculation puts the density of states at the Fermi level at 9.00 states/eV/cell.

The structure belongs to space group R-3m (No. 166, hexagonal axes); the cell edges are 3.1206, 3.1206 and 27.0110 Å and the angles 90.00°, 90.00° and 120.00°. The inequivalent atoms are Mn at (0.0000, 0.0000, 0.0000), Tl at (0.0000, 0.0000, 0.5000) and Zn at (0.0000, 0.0000, 0.2611).

---

(2)
The following is a DFT calculation (PBE) of a geometry-optimized Ac3CdGa2Pd6 structure.

The magnetization is 0.000 μB per atom. The formation energy is -0.65 eV/atom. The calculation puts the density of states at the Fermi level at 5.36 states/eV/cell.

The structure belongs to space group P-3m1 (No. 164); the cell edges are 5.9449, 5.9449 and 9.0475 Å and the angles 90.00°, 90.00° and 120.00°. The inequivalent atoms are Ac at (0.0000, 0.0000, 0.0000), Ac at (0.3333, 0.6667, 0.6361), Cd at (0.0000, 0.0000, 0.5000), Ga at (0.3333, 0.6667, 0.0343) and Pd at (0.1761, 0.3522, 0.2714).

---

Q: The highest magnetization belongs to which entry?
A: MnTlZn2

---

Q: The highest magnetization belongs to which entry?
A: MnTlZn2